First-principles (PBE) data for a geometry-optimized Mn2CoPt8 structure, as listed in Alexandria via LeMat-Bulk.

abc: 7.2977 7.2977 6.2157
angles: 105.45 105.45 31.29
Fractional positions:
1 Mn 0.2243 0.2243 0.1449
2 Mn 0.7757 0.7757 0.8551
3 Co 0.5000 0.5000 0.5000
4 Pt 0.0459 0.0459 0.2290
5 Pt 0.1382 0.1382 0.6881
6 Pt 0.3205 0.3205 0.5857
7 Pt 0.4039 0.4039 0.0506
8 Pt 0.5961 0.5961 0.9494
9 Pt 0.6795 0.6795 0.4143
10 Pt 0.8618 0.8618 0.3119
11 Pt 0.9541 0.9541 0.7710

Values from the calculation:
* uncorrected energy: -0.508 Ry per atom
* energy relative to the elements: -0.207 eV/atom
* SG: C2/m